# 1
Compound: MgAlFeSe2
Source: Alexandria via LeMat-Bulk
Functional: PBE
Structure: optimized geometry

The structure in extended XYZ format:
```
5
Lattice="-2.391 -1.892 3.828 3.794 0.104 2.421 -1.105 4.512 1.539" Properties=species:S:1:pos:R:3 pbc="T T T"
Se -1.195 -0.946 1.914
Se -0.553 2.256 0.770
Mg 0.149 1.362 3.894
Fe 0.000 0.000 0.000
Al 1.897 0.052 1.210
```

Calculated values
Formation energy (no corrections) ... 0.1051 eV/atom
DFT total energy ... -4.05 eV per atom
Space-group type ... P4/mmm

=====

# 2
Compound: Mg3Al8FeSi6
Source: Alexandria via LeMat-Bulk
Functional: PBE
Structure: optimized geometry

The structure in extended XYZ format:
```
18
Lattice="4.080 5.241 -1.032 -6.665 0.814 -0.325 -0.170 1.612 7.514" Properties=species:S:1:pos:R:3 pbc="T T T"
Al -0.085 0.806 3.757
Al -2.393 0.292 -0.117
Al 0.366 5.028 5.091
Al -3.120 2.639 1.066
Al 1.465 1.882 -0.371
Al -3.216 3.552 5.327
Al 0.462 4.114 0.830
Al -1.656 3.881 -0.870
Si -0.757 2.705 5.436
Si 3.051 4.345 0.967
Si -5.088 0.992 1.502
Si -5.179 1.853 5.519
Si -0.666 1.844 1.419
Si 2.960 5.207 4.984
Mg -1.565 4.275 2.980
Mg 1.658 3.045 3.316
Mg -2.932 1.154 3.618
Fe 0.000 0.000 0.000
```

Calculated values
Formation energy (no corrections) ... 0.0148 eV/atom
DFT total energy ... -4.19 eV per atom
Space-group type ... P-62m

=====

# 3
Compound: Y5Mg5Al12Fe4Si6
Source: Alexandria via LeMat-Bulk
Functional: PBE
Structure: optimized geometry

The structure in extended XYZ format:
```
32
Lattice="-4.556 -5.671 9.390 -5.143 -7.877 -7.252 3.258 -2.302 0.190" Properties=species:S:1:pos:R:3 pbc="T T T"
Al -4.333 -9.123 5.720
Al -2.108 -6.727 -3.392
Al -4.635 -10.257 -2.835
Al -5.789 -11.695 -0.455
Al -5.637 -11.120 3.882
Al -3.121 -7.553 3.972
Al -3.319 -8.297 -1.644
Al -1.806 -5.593 5.163
Al -0.651 -4.156 2.783
Al -1.584 -5.639 0.803
Al -4.857 -10.211 1.525
Al -0.804 -4.731 -1.554
Mg -4.674 -6.116 6.030
Mg -5.024 -7.432 -3.893
Mg -7.741 -10.813 1.706
Mg -1.958 -2.735 0.432
Mg -3.220 -7.925 1.164
Fe -3.571 -5.469 -5.036
Fe -1.393 -1.733 2.870
Fe -1.572 -2.408 -2.217
Fe -3.163 -3.938 6.520
Y -3.725 -5.375 -1.248
Y -3.580 -4.830 2.858
Y -5.973 -8.173 3.386
Y 0.000 0.000 0.000
Y -6.118 -8.718 -0.721
Si -2.278 -2.835 4.695
Si -2.539 -7.535 -5.783
Si 0.654 -2.644 -1.279
Si -2.064 -5.747 7.706
Si 0.766 -2.226 1.875
Si -2.571 -3.939 -3.626
```

Calculated values
Formation energy (no corrections) ... -0.3800 eV/atom
DFT total energy ... -5.12 eV per atom
Space-group type ... P4/mmm

=====

# 4
Compound: SrMgAl2Fe
Source: Alexandria via LeMat-Bulk
Functional: PBE
Structure: optimized geometry

The structure in extended XYZ format:
```
5
Lattice="-4.447 0.964 1.010 -1.307 -4.061 -1.878 0.517 -2.184 4.363" Properties=species:S:1:pos:R:3 pbc="T T T"
Fe 0.000 0.000 0.000
Al -0.653 -2.031 -0.939
Al -2.224 0.482 0.505
Mg 0.259 -1.092 2.182
Sr -2.618 -2.641 1.748
```

Calculated values
DFT total energy ... -3.98 eV per atom
Space-group type ... P4/mmm

=====

# 5
Compound: MgTaAlFe2
Source: Alexandria via LeMat-Bulk
Functional: PBE
Structure: optimized geometry

The structure in extended XYZ format:
```
5
Lattice="4.474 0.000 0.000 0.000 5.003 0.000 0.000 0.000 4.474" Properties=species:S:1:pos:R:3 pbc="T T T"
Mg 2.237 2.502 2.237
Al 0.000 2.502 0.000
Fe 2.237 0.000 0.000
Fe 0.000 0.000 2.237
Ta 0.000 0.000 0.000
```

Calculated values
DFT total energy ... -5.60 eV per atom
Space-group type ... P4/mmm

=====

# 6
Compound: MgTiAlFe2
Source: Alexandria via LeMat-Bulk
Functional: PBE
Structure: optimized geometry

The structure in extended XYZ format:
```
5
Lattice="-0.791 -4.344 0.053 4.219 -0.748 1.715 -1.605 0.343 4.099" Properties=species:S:1:pos:R:3 pbc="T T T"
Fe -0.803 0.171 2.050
Fe -0.396 -2.172 0.027
Al 2.110 -0.374 0.857
Mg 0.000 0.000 0.000
Ti 0.911 -2.375 2.934
```

Calculated values
DFT total energy ... -4.82 eV per atom
Space-group type ... P4/mmm

=====

# 7
Compound: MnAlFe2
Source: Alexandria via LeMat-Bulk
Functional: PBE
Structure: optimized geometry

The structure in extended XYZ format:
```
4
Lattice="4.009 0.000 0.000 0.000 2.536 0.007 0.000 0.883 4.732" Properties=species:S:1:pos:R:3 pbc="T T T"
Mn 2.004 0.855 1.185
Fe 0.000 1.659 2.337
Fe 0.000 0.050 0.033
Al 2.004 2.564 3.554
```

Calculated values
DFT total energy ... -7.53 eV per atom
Space-group type ... P2/m

=====

# 8
Compound: Mn2AlFe3
Source: Alexandria via LeMat-Bulk
Functional: PBE
Structure: optimized geometry

The structure in extended XYZ format:
```
12
Lattice="3.994 0.000 0.016 1.997 5.991 0.008 -0.022 0.000 5.694" Properties=species:S:1:pos:R:3 pbc="T T T"
Fe 1.980 4.001 4.217
Fe 1.991 0.000 1.486
Fe 1.991 4.001 1.492
Fe 3.977 1.991 4.225
Fe 1.980 0.000 4.224
Fe 3.988 1.991 1.500
Mn 1.986 1.981 2.855
Mn 3.982 4.011 2.862
Mn 0.000 0.000 0.000
Mn -0.011 0.000 2.847
Al 3.994 4.019 0.016
Al 1.997 1.973 0.008
```

Calculated values
DFT total energy ... -7.96 eV per atom
Space-group type ... Cmmm

=====

# 9
Compound: Mn4AlFe
Source: Alexandria via LeMat-Bulk
Functional: PBE
Structure: optimized geometry

The structure in extended XYZ format:
```
6
Lattice="0.000 3.293 3.293 3.293 0.000 3.293 3.293 3.293 0.000" Properties=species:S:1:pos:R:3 pbc="T T T"
Fe 0.000 0.000 0.000
Mn 4.117 4.117 2.469
Mn 4.117 2.469 4.117
Mn 2.469 2.469 2.469
Mn 2.469 4.117 4.117
Al 4.939 4.939 4.939
```

Calculated values
DFT total energy ... -8.07 eV per atom
Space-group type ... F-43m

=====

# 10
Compound: MnAl3Fe
Source: Alexandria via LeMat-Bulk
Functional: PBE
Structure: optimized geometry

The structure in extended XYZ format:
```
20
Lattice="-1.929 -3.896 -4.563 6.456 0.216 -2.914 1.490 -5.392 2.903" Properties=species:S:1:pos:R:3 pbc="T T T"
Mn 3.021 -4.674 0.012
Mn 6.224 -5.094 -1.539
Mn 2.996 -4.397 -4.587
Mn -0.207 -3.977 -3.036
Al 4.345 -2.211 -4.767
Al -0.052 -8.016 -2.159
Al 0.940 -6.080 -3.982
Al 2.514 -8.129 -2.204
Al 6.070 -1.056 -2.416
Al 0.590 -3.558 -0.406
Al 5.077 -2.992 -0.592
Al 3.504 -0.943 -2.371
Al 5.428 -5.514 -4.169
Al 3.708 -5.770 -2.278
Al 1.672 -6.861 0.193
Al 2.309 -3.301 -2.297
Fe 1.569 -0.896 -0.899
Fe 1.350 -5.542 -1.729
Fe 4.668 -3.530 -2.846
Fe 4.448 -8.175 -3.676
```

Calculated values
DFT total energy ... -5.90 eV per atom
Space-group type ... Cmce

=====

# 11
Compound: Mn4Al5Fe
Source: Alexandria via LeMat-Bulk
Functional: PBE
Structure: optimized geometry

The structure in extended XYZ format:
```
10
Lattice="-2.227 0.304 1.718 1.604 -0.742 2.210 3.901 15.389 2.333" Properties=species:S:1:pos:R:3 pbc="T T T"
Al 1.638 7.476 3.131
Al 2.450 10.676 3.616
Al 0.027 1.119 2.167
Al 3.250 13.832 4.095
Al 0.827 4.275 2.646
Mn 1.542 6.083 0.922
Mn 0.742 2.927 0.444
Mn 2.359 9.306 1.411
Mn 3.159 12.462 1.890
Fe 0.000 0.000 0.000
```

Calculated values
DFT total energy ... -6.65 eV per atom
Space-group type ... P4/mmm

=====

# 12
Compound: MnAl6Fe
Source: Alexandria via LeMat-Bulk
Functional: PBE
Structure: optimized geometry

The structure in extended XYZ format:
```
8
Lattice="-0.360 -5.297 0.122 -0.173 -3.074 5.481 -4.361 -1.246 2.769" Properties=species:S:1:pos:R:3 pbc="T T T"
Al -2.660 -6.888 5.488
Al -0.391 -6.161 4.248
Al -2.234 -2.729 2.884
Al -0.142 -2.211 1.354
Al -2.415 -5.362 2.746
Al -2.480 -4.255 5.625
Fe -0.267 -4.186 2.801
Mn 0.000 0.000 0.000
```

Calculated values
DFT total energy ... -5.02 eV per atom
Space-group type ... R-3m